Entry 1:
Ta2FeRe, optimized geometry, DFT PBE; space-group type = Cmmm, No. 65; theoretical density = 16.1 Mg/m³; calculated formation energy = -0.4 eV/f.u.; total DFT energy (no corrections) = -11.24 eV/atom
1.0
2.777 0.005 0.000
-0.917 2.621 0.000
0.000 0.000 8.570
Fe Re Ta
1 1 2
Cartesian
0.930 1.313 2.142
0.930 1.313 6.427
0.000 0.000 0.098
0.000 0.000 4.186


Entry 2:
AgOs2F, optimized geometry, DFT PBE; energy relative to the lowest polymorph listed for this composition = 0.0 meV per atom; space-group type = I-42d, No. 122; E_form (uncorrected) = 2.913 eV/f.u.; theoretical density = 12.9 Mg/m³; total DFT energy (no corrections) = -6.07 eV/atom
1.0
3.499 0.000 0.000
0.000 3.499 0.000
1.750 1.750 10.680
Os Ag F
4 2 2
Cartesian
2.655 0.875 2.670
0.845 2.625 2.670
2.625 2.595 8.010
4.374 4.404 8.010
0.000 0.000 0.000
3.499 1.750 5.340
1.750 1.750 0.000
1.750 3.499 5.340


Entry 3:
ZrNiAu2, optimized geometry, DFT PBE; space-group type = Cmmm, No. 65; theoretical density = 12.9 Mg/m³; calculated formation energy = -0.6 eV/f.u.; total DFT energy (no corrections) = -5.37 eV/atom
1.0
4.980 -0.011 -0.018
-1.905 4.602 -0.018
0.010 0.015 3.046
Au Ni Zr
2 1 1
Cartesian
0.000 0.000 0.000
1.538 2.295 -0.018
2.495 0.002 1.514
-0.947 2.308 1.514


Entry 4:
Sm2CuC, optimized geometry, DFT PBE; space-group type = R-3m, No. 166; theoretical density = 6.6 Mg/m³; calculated formation energy = 1.0 eV/f.u.; total DFT energy (no corrections) = -5.44 eV/atom
1.0
-0.944 2.494 -2.404
-3.117 -0.289 -1.756
-5.237 5.201 4.772
C Cu Sm
1 1 2
Cartesian
-4.649 3.703 0.306
0.000 0.000 0.000
-3.927 3.694 2.694
-5.372 3.711 -2.082


Entry 5:
CdNiPb2, optimized geometry, DFT PBE; energy relative to the lowest polymorph listed for this composition = 206.2 meV per atom; space-group type = Cmmm, No. 65; theoretical density = 10.4 Mg/m³; calculated formation energy = 1.3 eV/f.u.; total DFT energy (no corrections) = -3.22 eV/atom
1.0
4.909 -0.120 0.108
-4.695 6.379 -0.003
-0.013 2.360 3.084
Cd Ni Pb
1 1 2
Cartesian
0.107 3.129 0.053
2.448 1.120 1.596
0.000 0.000 0.000
-2.354 4.369 1.540


Entry 6:
ZnCuPbO2, optimized geometry, DFT PBE; space-group type = P4/mmm, No. 123; E_form (uncorrected) = 0.719 eV/f.u.; theoretical density = 7.2 Mg/m³; total DFT energy (no corrections) = -3.66 eV/atom
1.0
-0.945 -3.174 1.916
-2.301 -2.248 -4.858
3.386 -1.545 -0.889
Pb Zn O Cu
1 1 2 1
Cartesian
-1.151 -1.124 -2.429
0.000 0.000 0.000
1.693 -0.772 -0.445
-0.473 -1.587 0.958
0.070 -3.484 -1.916